1.
A plane-wave DFT calculation with PBE was carried out for an optimized crystal structure of TlCdTe2W.

Formation energy without anion corrections ... 36.4 kJ/mol of atoms
Raw total energy ... -4.126 eV per atom
Volume ... 31.030 Å³ per atom

abc: 5.326 5.326 5.470
angles: 90.00 90.00 90.00
Fractional coordinates of all 5 atoms:
1 Tl 0.000 0.000 0.000
2 Cd 0.500 0.500 0.000
3 Te 0.000 0.500 0.500
4 Te 0.500 0.000 0.500
5 W 0.500 0.500 0.500

---

2.
A plane-wave DFT calculation with PBE was carried out for an optimized crystal structure of Y2Tl3CdTe6.

Formation energy without anion corrections ... -73.9 kJ/mol of atoms
Raw total energy ... -4.082 eV per atom
Volume ... 34.081 Å³ per atom

abc: 7.734 7.734 8.317
angles: 98.90 98.90 120.15
Fractional coordinates of all 12 atoms:
1 Y 0.166 0.834 0.000
2 Y 0.834 0.166 0.000
3 Tl 0.000 0.000 0.500
4 Tl 0.329 0.671 0.500
5 Tl 0.671 0.329 0.500
6 Cd 0.500 0.500 0.000
7 Te 0.096 0.429 0.784
8 Te 0.241 0.241 0.218
9 Te 0.429 0.096 0.784
10 Te 0.571 0.904 0.216
11 Te 0.759 0.759 0.782
12 Te 0.904 0.571 0.216

---

3.
A plane-wave DFT calculation with PBE was carried out for an optimized crystal structure of YTlCdTe3.

Formation energy without anion corrections ... -79.3 kJ/mol of atoms
Raw total energy ... -4.017 eV per atom
Volume ... 35.707 Å³ per atom

abc: 9.436 4.499 10.521
angles: 90.00 106.41 90.00
Fractional coordinates of all 12 atoms:
1 Y 0.173 0.250 0.140
2 Y 0.827 0.750 0.860
3 Tl 0.292 0.750 0.777
4 Tl 0.708 0.250 0.223
5 Cd 0.417 0.750 0.394
6 Cd 0.583 0.250 0.606
7 Te 0.044 0.250 0.838
8 Te 0.263 0.250 0.463
9 Te 0.397 0.750 0.121
10 Te 0.603 0.250 0.879
11 Te 0.737 0.750 0.537
12 Te 0.956 0.750 0.162

---

4.
A plane-wave DFT calculation with PBE was carried out for an optimized crystal structure of Y3Tl3CdTe8.

Formation energy without anion corrections ... -77.6 kJ/mol of atoms
Raw total energy ... -4.306 eV per atom
Volume ... 36.183 Å³ per atom

abc: 8.759 8.759 9.613
angles: 117.14 117.14 59.96
Fractional coordinates of all 15 atoms:
1 Y 0.000 0.000 0.000
2 Y 0.000 0.500 0.000
3 Y 0.500 0.000 0.000
4 Tl 0.000 0.500 0.500
5 Tl 0.500 0.000 0.500
6 Tl 0.500 0.500 0.500
7 Cd 0.500 0.500 0.000
8 Te 0.237 0.739 0.215
9 Te 0.239 0.239 0.218
10 Te 0.261 0.763 0.785
11 Te 0.262 0.262 0.786
12 Te 0.738 0.738 0.214
13 Te 0.739 0.237 0.215
14 Te 0.761 0.761 0.782
15 Te 0.763 0.261 0.785

---

5.
A plane-wave DFT calculation with PBE was carried out for an optimized crystal structure of ZrTl3Cd2Te6.

Formation energy without anion corrections ... -39.9 kJ/mol of atoms
Raw total energy ... -3.441 eV per atom
Volume ... 32.394 Å³ per atom

abc: 7.623 7.623 8.154
angles: 99.00 99.00 120.21
Fractional coordinates of all 12 atoms:
1 Zr 0.000 0.000 0.000
2 Tl 0.167 0.833 0.500
3 Tl 0.500 0.500 0.500
4 Tl 0.833 0.167 0.500
5 Cd 0.334 0.666 0.000
6 Cd 0.666 0.334 0.000
7 Te 0.072 0.393 0.211
8 Te 0.247 0.247 0.784
9 Te 0.393 0.072 0.211
10 Te 0.607 0.928 0.789
11 Te 0.753 0.753 0.216
12 Te 0.928 0.607 0.789

---

6.
A plane-wave DFT calculation with PBE was carried out for an optimized crystal structure of Tm8CdTe2.

Formation energy without anion corrections ... -34.3 kJ/mol of atoms
Raw total energy ... -4.262 eV per atom
Volume ... 28.972 Å³ per atom

abc: 8.564 8.564 6.170
angles: 91.73 91.73 44.81
Fractional coordinates of all 11 atoms:
1 Tm 0.082 0.082 0.374
2 Tm 0.148 0.660 0.147
3 Tm 0.295 0.295 0.616
4 Tm 0.340 0.852 0.853
5 Tm 0.660 0.148 0.147
6 Tm 0.705 0.705 0.384
7 Tm 0.852 0.340 0.853
8 Tm 0.918 0.918 0.626
9 Cd 0.500 0.500 0.500
10 Te 0.239 0.239 0.122
11 Te 0.761 0.761 0.878

---

7.
A plane-wave DFT calculation with PBE was carried out for an optimized crystal structure of Tm3CdTe.

Formation energy without anion corrections ... -44.7 kJ/mol of atoms
Raw total energy ... -3.958 eV per atom
Volume ... 28.801 Å³ per atom

abc: 5.666 7.571 7.284
angles: 90.00 112.82 90.00
Fractional coordinates of all 10 atoms:
1 Tm 0.094 0.250 0.187
2 Tm 0.324 0.019 0.649
3 Tm 0.324 0.481 0.649
4 Tm 0.676 0.519 0.351
5 Tm 0.676 0.981 0.351
6 Tm 0.906 0.750 0.813
7 Cd 0.155 0.750 0.310
8 Cd 0.845 0.250 0.690
9 Te 0.488 0.750 0.978
10 Te 0.512 0.250 0.022

---

8.
A plane-wave DFT calculation with PBE was carried out for an optimized crystal structure of Tm6CdTe5.

Formation energy without anion corrections ... -100.1 kJ/mol of atoms
Raw total energy ... -4.659 eV per atom
Volume ... 28.466 Å³ per atom

abc: 7.485 7.485 7.458
angles: 99.60 99.60 119.90
Fractional coordinates of all 12 atoms:
1 Tm 0.078 0.396 0.737
2 Tm 0.233 0.233 0.254
3 Tm 0.396 0.078 0.737
4 Tm 0.604 0.922 0.263
5 Tm 0.767 0.767 0.746
6 Tm 0.922 0.604 0.263
7 Cd 0.000 0.000 0.500
8 Te 0.176 0.824 0.000
9 Te 0.336 0.664 0.500
10 Te 0.500 0.500 0.000
11 Te 0.664 0.336 0.500
12 Te 0.824 0.176 0.000

---

9.
A plane-wave DFT calculation with PBE was carried out for an optimized crystal structure of TmCdTe.

Formation energy without anion corrections ... -70.6 kJ/mol of atoms
Raw total energy ... -3.574 eV per atom
Volume ... 32.369 Å³ per atom

abc: 10.217 10.217 10.217
angles: 27.02 27.02 27.02
Fractional coordinates of all 6 atoms:
1 Tm 0.063 0.063 0.063
2 Tm 0.937 0.937 0.937
3 Cd 0.330 0.330 0.330
4 Cd 0.670 0.670 0.670
5 Te 0.226 0.226 0.226
6 Te 0.774 0.774 0.774

---

10.
A plane-wave DFT calculation with PBE was carried out for an optimized crystal structure of Tm7Cd2Te2.

Formation energy without anion corrections ... -24.1 kJ/mol of atoms
Raw total energy ... -3.832 eV per atom
Volume ... 29.695 Å³ per atom

abc: 6.713 6.713 7.560
angles: 90.00 90.00 106.49
Fractional coordinates of all 11 atoms:
1 Tm 0.000 0.000 0.000
2 Tm 0.000 0.500 0.283
3 Tm 0.000 0.500 0.717
4 Tm 0.500 0.000 0.283
5 Tm 0.500 0.000 0.717
6 Tm 0.500 0.500 0.271
7 Tm 0.500 0.500 0.729
8 Cd 0.175 0.175 0.500
9 Cd 0.825 0.825 0.500
10 Te 0.283 0.717 0.000
11 Te 0.717 0.283 0.000

---

11.
A plane-wave DFT calculation with PBE was carried out for an optimized crystal structure of Tm5CdTe5.

Formation energy without anion corrections ... -103.3 kJ/mol of atoms
Raw total energy ... -4.614 eV per atom
Volume ... 30.605 Å³ per atom

abc: 7.472 7.472 8.521
angles: 106.75 106.75 48.22
Fractional coordinates of all 11 atoms:
1 Tm 0.000 0.000 0.000
2 Tm 0.336 0.336 0.167
3 Tm 0.336 0.336 0.668
4 Tm 0.664 0.664 0.332
5 Tm 0.664 0.664 0.833
6 Cd 0.500 0.500 0.000
7 Te 0.165 0.165 0.828
8 Te 0.170 0.170 0.337
9 Te 0.500 0.500 0.500
10 Te 0.830 0.830 0.663
11 Te 0.835 0.835 0.172

---

12.
A plane-wave DFT calculation with PBE was carried out for an optimized crystal structure of Tm5CdTe2.

Formation energy without anion corrections ... -42.1 kJ/mol of atoms
Raw total energy ... -4.131 eV per atom
Volume ... 29.899 Å³ per atom

abc: 6.957 6.957 12.918
angles: 90.00 90.00 130.08
Fractional coordinates of all 16 atoms:
1 Tm 0.051 0.949 0.614
2 Tm 0.051 0.949 0.886
3 Tm 0.385 0.615 0.553
4 Tm 0.385 0.615 0.947
5 Tm 0.386 0.614 0.250
6 Tm 0.614 0.386 0.750
7 Tm 0.615 0.385 0.053
8 Tm 0.615 0.385 0.447
9 Tm 0.949 0.051 0.114
10 Tm 0.949 0.051 0.386
11 Cd 0.257 0.743 0.750
12 Cd 0.743 0.257 0.250
13 Te 0.190 0.810 0.092
14 Te 0.190 0.810 0.408
15 Te 0.810 0.190 0.592
16 Te 0.810 0.190 0.908